{"formula": "PbBr2", "functional": "GGA-PBEsol", "state": "relaxed", "lattice": [[-0.865, 6.609, 3.115], [-7.025, -1.615, 1.475], [2.009, -2.801, 6.500]], "species": ["Pb", "Br", "Pb", "Pb", "Pb", "Br", "Br", "Br", "Br", "Br", "Br", "Br"], "fractional_positions": [[0.500, 0.500, 0.000], [0.346, 0.346, 0.346], [0.500, 0.000, 0.500], [0.000, 0.500, 0.500], [0.000, 0.000, 0.000], [0.654, 0.846, 0.154], [0.846, 0.346, 0.154], [0.154, 0.654, 0.846], [0.654, 0.654, 0.654], [0.346, 0.154, 0.846], [0.846, 0.154, 0.654], [0.154, 0.846, 0.346]], "final_energy_ev_per_cell": -41.12, "raw_formation_energy_mev_per_atom": -847}



{"formula": "Ca2InSi", "functional": "GGA-PBEsol", "state": "relaxed", "lattice": [[-3.187, -0.887, 1.439], [-2.617, -1.332, -2.095], [1.255, -9.565, 1.408]], "species": ["In", "Ca", "Si", "Ca"], "fractional_positions": [[0.500, 0.500, 0.500], [0.258, 0.258, 0.225], [0.000, 0.000, 0.000], [0.742, 0.742, 0.775]], "final_energy_ev_per_cell": -13.77, "raw_formation_energy_mev_per_atom": -193}



{"formula": "RbFeW3", "functional": "GGA-PBEsol", "state": "relaxed", "lattice": [[4.606, 0.000, 0.000], [0.000, 4.606, 0.000], [0.000, 0.000, 4.606]], "species": ["W", "Rb", "W", "W", "Fe"], "fractional_positions": [[0.500, 0.000, 0.000], [0.500, 0.500, 0.500], [0.000, 0.000, 0.500], [0.000, 0.500, 0.000], [0.000, 0.000, 0.000]], "final_energy_ev_per_cell": -41.12, "formation_energy_kj_per_mol_atoms": 199}



{"formula": "CoW2Cl", "functional": "GGA-PBEsol", "state": "relaxed", "lattice": [[3.679, 0.000, 0.000], [0.000, 3.679, 0.000], [-1.840, -1.840, 4.159]], "species": ["W", "Co", "W", "Cl"], "fractional_positions": [[0.750, 0.250, 0.500], [0.250, 0.750, 0.500], [0.000, 0.000, 0.000], [0.500, 0.500, 0.000]], "final_energy_ev_per_cell": -32.78, "raw_formation_energy_mev_per_atom": 1144, "polymorph_energy_mev_per_atom": 663}



{"formula": "MgHgMo", "functional": "GGA-PBEsol", "state": "relaxed", "lattice": [[-1.358, -2.315, 0.873], [2.190, -1.368, -1.141], [2.844, 2.150, 6.022]], "species": ["Mo", "Mg", "Hg"], "fractional_positions": [[0.331, 0.331, 0.662], [0.672, 0.672, 0.343], [0.997, 0.997, 0.995]], "final_energy_ev_per_cell": -13.15, "formation_energy_kj_per_mol_atoms": 29, "polymorph_energy_mev_per_atom": 0}



{"formula": "Sr2CoMo", "functional": "GGA-PBEsol", "state": "relaxed", "lattice": [[-3.036, 0.975, 1.902], [1.677, -2.524, 3.971], [1.845, 5.979, -0.120]], "species": ["Mo", "Co", "Sr", "Sr"], "fractional_positions": [[0.500, 0.424, 0.722], [0.000, 0.319, 0.514], [0.000, 0.020, 0.916], [0.500, 0.737, 0.348]], "final_energy_ev_per_cell": -20.71, "formation_energy_kj_per_mol_atoms": 60}